1.
# AcPrZn4

A geometry-optimized AcPrZn4 structure (PBE-GGA, the Alexandria database).

Lattice parameters (Å, degrees): 5.7256 5.7256 5.7256 60.00 60.00 60.00
With the nearest neighbours (Å) after each atom.
Fractional coordinates of all 6 atoms:
Ac1 0.2500 0.2500 0.2500  12 Zn 3.36, 4 Pr 3.51
Zn1 0.1199 0.6267 0.6267  6 Zn 2.82-2.90
Zn2 0.6267 0.1199 0.6267  6 Zn 2.82-2.90
Zn3 0.6267 0.6267 0.6267  6 Zn 2.82-2.90
Zn4 0.6267 0.6267 0.1199  6 Zn 2.82-2.90
Pr1 0.0000 0.0000 0.0000  12 Zn 3.35, 4 Ac 3.51

Fermi-level density of states: 3.70 states/eV per cell
Energy relative to the elements: -272 meV per atom
Total DFT energy (no corrections): -15.6 eV per cell
Space-group type: F-43m, No. 216
Magnetic moment: 0.00 μB per formula unit

---

2.
# AcPr2Zn4

A geometry-optimized AcPr2Zn4 structure (PBE-GGA, the Alexandria database).

Lattice parameters (Å, degrees): 5.1897 5.1896 8.3818 108.02 108.03 90.00
With the nearest neighbours (Å) after each atom.
Fractional coordinates of all 7 atoms:
Ac1 0.0000 0.0000 0.0000  8 Zn 3.24
Zn1 0.3713 0.8716 0.7426  4 Pr 3.08-3.28, 2 Ac 3.24
Zn2 0.6287 0.1284 0.2574  4 Pr 3.08-3.28, 2 Ac 3.24
Zn3 0.1287 0.6287 0.2574  4 Pr 3.08-3.28, 2 Ac 3.24
Zn4 0.8713 0.3713 0.7426  4 Pr 3.08-3.28, 2 Ac 3.24
Pr1 0.2615 0.2614 0.5230  8 Zn 3.08-3.28
Pr2 0.7385 0.7386 0.4770  8 Zn 3.08-3.28

Fermi-level density of states: 6.44 states/eV per cell
Energy relative to the elements: -77 meV per atom
Total DFT energy (no corrections): -19.3 eV per cell
Space-group type: I4/mmm, No. 139
Magnetic moment: 0.23 μB per formula unit

---

3.
# Ac2PrZn2

A geometry-optimized Ac2PrZn2 structure (PBE-GGA, the Alexandria database).

Lattice parameters (Å, degrees): 3.8249 3.8706 10.9377 79.81 90.00 90.00
With the nearest neighbours (Å) after each atom.
Fractional coordinates of all 5 atoms:
Ac1 0.0000 0.8297 0.3405  4 Zn 3.36, 1 Pr 3.67
Ac2 0.0000 0.1703 0.6595  4 Zn 3.36, 1 Pr 3.67
Zn1 0.5000 0.4214 0.1571  4 Pr 3.20, 4 Ac 3.36, 1 Zn 3.38
Zn2 0.5000 0.5786 0.8429  4 Pr 3.20, 4 Ac 3.36, 1 Zn 3.38
Pr1 0.0000 0.0000 0.0000  8 Zn 3.20

Fermi-level density of states: 6.04 states/eV per cell
Energy relative to the elements: -149 meV per atom
Total DFT energy (no corrections): -16.3 eV per cell
Space-group type: Cmmm, No. 65
Magnetic moment: 0.00 μB per formula unit

---

4.
# Ac2PrZn4

A geometry-optimized Ac2PrZn4 structure (PBE-GGA, the Alexandria database).

Lattice parameters (Å, degrees): 5.5152 5.5152 7.7466 110.85 110.85 90.00
With the nearest neighbours (Å) after each atom.
Fractional coordinates of all 7 atoms:
Zn1 0.1006 0.6006 0.2011  1 Zn 2.69
Zn2 0.3994 0.8994 0.7989  1 Zn 2.69
Zn3 0.6006 0.1006 0.2011  1 Zn 2.69
Zn4 0.8994 0.3994 0.7989  1 Zn 2.69
Pr1 0.0000 0.0000 0.0000  8 Zn 3.07
Ac1 0.2845 0.2845 0.5690  4 Zn 3.16
Ac2 0.7155 0.7155 0.4310  4 Zn 3.16

Fermi-level density of states: 5.00 states/eV per cell
Energy relative to the elements: -121 meV per atom
Total DFT energy (no corrections): -18.9 eV per cell
Space-group type: I4/mmm, No. 139
Magnetic moment: 0.00 μB per formula unit

---

5.
# Ac4PrZn5

A geometry-optimized Ac4PrZn5 structure (PBE-GGA, the Alexandria database).

Lattice parameters (Å, degrees): 3.8795 3.8795 19.2831 90.00 90.00 90.00
With the nearest neighbours (Å) after each atom.
Fractional coordinates of all 10 atoms:
Ac1 0.0000 0.0000 0.8062  8 Zn 3.38-3.41, 1 Pr 3.74
Ac2 0.0000 0.0000 0.3983  8 Zn 3.37-3.38
Ac3 0.0000 0.0000 0.6017  8 Zn 3.37-3.38
Ac4 0.0000 0.0000 0.1938  8 Zn 3.38-3.41, 1 Pr 3.74
Zn1 0.5000 0.5000 0.5000  8 Ac 3.37
Zn2 0.5000 0.5000 0.7039  8 Ac 3.38
Zn3 0.5000 0.5000 0.2961  8 Ac 3.38
Zn4 0.5000 0.5000 0.9113  4 Pr 3.23, 4 Ac 3.41, 1 Zn 3.42
Zn5 0.5000 0.5000 0.0887  4 Pr 3.23, 4 Ac 3.41, 1 Zn 3.42
Pr1 0.0000 0.0000 0.0000  8 Zn 3.23

Fermi-level density of states: 11.98 states/eV per cell
Energy relative to the elements: -250 meV per atom
Total DFT energy (no corrections): -30.1 eV per cell
Space-group type: P4/mmm, No. 123
Magnetic moment: 0.00 μB per formula unit

---

6.
# Ac2PrZn9

A geometry-optimized Ac2PrZn9 structure (PBE-GGA, the Alexandria database).

Lattice parameters (Å, degrees): 5.6941 5.6941 9.5311 72.62 72.62 60.00
With the nearest neighbours (Å) after each atom.
Fractional coordinates of all 12 atoms:
Zn1 0.6654 0.6654 0.0037  6 Zn 2.64-2.68
Zn2 0.5000 0.5000 0.5000  6 Zn 2.90
Zn3 0.0758 0.5788 0.7667  7 Zn 2.64-2.90
Zn4 0.5788 0.0758 0.7667  7 Zn 2.64-2.90
Zn5 0.3346 0.3346 0.9963  6 Zn 2.64-2.68
Zn6 0.4212 0.4212 0.2333  7 Zn 2.64-2.90
Zn7 0.4212 0.9242 0.2333  7 Zn 2.64-2.90
Zn8 0.5788 0.5788 0.7667  7 Zn 2.64-2.90
Zn9 0.9242 0.4212 0.2333  7 Zn 2.64-2.90
Ac1 0.8591 0.8591 0.4228  12 Zn 3.31-3.48, 3 Ac 3.57
Ac2 0.1409 0.1409 0.5772  12 Zn 3.31-3.48, 3 Ac 3.57
Pr1 0.0000 0.0000 0.0000  18 Zn 3.29-3.53

Fermi-level density of states: 5.63 states/eV per cell
Energy relative to the elements: -234 meV per atom
Total DFT energy (no corrections): -27.3 eV per cell
Space-group type: R-3m, No. 166
Magnetic moment: 0.00 μB per formula unit

---

7.
# Ac2Pr3Zn3

A geometry-optimized Ac2Pr3Zn3 structure (PBE-GGA, the Alexandria database).

Lattice parameters (Å, degrees): 3.8633 5.4373 12.1288 102.95 99.16 90.00
With the nearest neighbours (Å) after each atom.
Fractional coordinates of all 8 atoms:
Pr1 0.6102 0.6102 0.2204  6 Zn 3.22-3.34
Pr2 0.5000 0.0000 0.0000  8 Zn 3.14-3.34
Pr3 0.3898 0.3898 0.7796  6 Zn 3.22-3.34
Ac1 0.2791 0.7791 0.5581  2 Zn 3.30, 4 Ac 3.60
Ac2 0.7209 0.2209 0.4419  2 Zn 3.30, 4 Ac 3.60
Zn1 0.8937 0.8937 0.7874  6 Pr 3.14-3.34, 2 Ac 3.30
Zn2 0.0000 0.5000 0.0000  8 Pr 3.22-3.34
Zn3 0.1063 0.1063 0.2126  6 Pr 3.14-3.34, 2 Ac 3.30

Fermi-level density of states: 10.28 states/eV per cell
Energy relative to the elements: -144 meV per atom
Total DFT energy (no corrections): -27.5 eV per cell
Space-group type: Immm, No. 71
Magnetic moment: 0.00 μB per formula unit

---

8.
# Ac2PrZn2

A geometry-optimized Ac2PrZn2 structure (PBE-GGA, the Alexandria database).

Lattice parameters (Å, degrees): 4.6080 4.9969 14.0908 100.78 90.00 90.00
With the nearest neighbours (Å) after each atom.
Fractional coordinates of all 10 atoms:
Pr1 0.7500 0.3665 0.7339  1 Zn 3.05
Pr2 0.2500 0.6335 0.2661  1 Zn 3.05
Ac1 0.2500 0.9408 0.8871  3 Zn 3.11-3.33
Ac2 0.7500 0.7339 0.4702  2 Zn 3.10-3.11
Ac3 0.7500 0.0592 0.1129  3 Zn 3.11-3.33
Ac4 0.2500 0.2661 0.5298  2 Zn 3.10-3.11
Zn1 0.2500 0.5245 0.0461  2 Zn 2.63
Zn2 0.7500 0.4755 0.9539  2 Zn 2.63
Zn3 0.2500 0.8355 0.6627  3 Ac 3.10-3.11
Zn4 0.7500 0.1645 0.3373  3 Ac 3.10-3.11

Fermi-level density of states: 10.00 states/eV per cell
Energy relative to the elements: -83 meV per atom
Total DFT energy (no corrections): -31.9 eV per cell
Space-group type: P2_1/m, No. 11
Magnetic moment: 0.00 μB per formula unit